The following is a DFT calculation (meta-GGA SCAN) of CdPb3 at its PBEsol-relaxed geometry.

CIF file:
```
data_CdPb3
_chemical_formula_sum 'Cd4 Pb12'
_cell_length_a 9.5834
_cell_length_b 10.0379
_cell_length_c 4.6321
_cell_angle_alpha 90.00
_cell_angle_beta 90.00
_cell_angle_gamma 90.00
_space_group_name_H-M_alt 'C m c m'
_space_group_IT_number 63
_space_group_name_Hall '-C 2c 2'
loop_
_atom_site_label
_atom_site_type_symbol
_atom_site_fract_x
_atom_site_fract_y
_atom_site_fract_z
Cd1 Cd 0.0000 0.1238 0.2500
Pb1 Pb 0.0000 0.3685 0.7500
Pb2 Pb 0.2353 0.1234 0.7500
```

Calculated values
- total energy (eV/atom) = -64.41
- M_tot (μB/atom) = 0.00
- ΔH_f (0 K) (kJ/mol of formula units) = 13.0